A plane-wave DFT calculation with GGA-PBE was carried out for a relaxed structure of YSb.

Cell lengths 7.991, 7.991, 7.991 Å; angles 98.43, 98.43, 134.96 degrees
Fractional positions:
Y  0.140  0.642  0.783
Y  0.358  0.140  0.498
Y  0.642  0.860  0.502
Y  0.860  0.358  0.217
Sb  0.153  0.350  0.503
Sb  0.350  0.847  0.196
Sb  0.650  0.153  0.804
Sb  0.847  0.650  0.497

## Properties
E_tot	-6.19	eV/atom
D(E_F)	0.5	states/eV per cell
formation energy without anion corrections	-893	meV/atom
spin magnetization	0.00	μB/f.u.